# Li3FeP2O8

A relaxed structure of Li3FeP2O8 (PBE+U, Alexandria via LeMat-Bulk).

Unit cell a=8.458 b=8.458 c=7.130 alpha=90.00 beta=90.00 gamma=120.00
Positions (direct):
Li 0.000 0.000 0.000
Li 0.031 0.690 0.839
Li 0.310 0.341 0.839
Li 0.333 0.667 0.989
Li 0.341 0.031 0.161
Li 0.659 0.969 0.839
Li 0.667 0.333 0.011
Li 0.690 0.659 0.161
Li 0.969 0.310 0.161
Fe 0.000 0.000 0.500
Fe 0.333 0.667 0.571
Fe 0.667 0.333 0.429
P 0.035 0.685 0.267
P 0.315 0.350 0.267
P 0.350 0.035 0.733
P 0.650 0.965 0.267
P 0.685 0.650 0.733
P 0.965 0.315 0.733
O 0.065 0.204 0.696
O 0.117 0.518 0.765
O 0.139 0.935 0.696
O 0.154 0.763 0.089
O 0.158 0.704 0.433
O 0.204 0.139 0.304
O 0.237 0.391 0.089
O 0.296 0.453 0.433
O 0.391 0.154 0.911
O 0.401 0.883 0.765
O 0.453 0.158 0.567
O 0.482 0.599 0.765
O 0.518 0.401 0.235
O 0.547 0.842 0.433
O 0.599 0.117 0.235
O 0.609 0.846 0.089
O 0.704 0.547 0.567
O 0.763 0.609 0.911
O 0.796 0.861 0.696
O 0.842 0.296 0.567
O 0.846 0.237 0.911
O 0.861 0.065 0.304
O 0.883 0.482 0.235
O 0.935 0.796 0.304

Calculated volume = 10.52 A^3/atom
Energy = -6.594 eV/atom
Offset from the most stable computed form = 26 meV per atom